1.
A relaxed PuThBi crystal. Source: Alexandria, functional PBE.

abc: 4.187 4.187 10.061
angles: 90.00 90.00 90.00
Space group I4mm (No. 107)
Asymmetric unit:
Pu 0.000 0.000 0.000
Th 0.000 0.000 0.319
Bi 0.000 0.000 0.656

Computed properties:
**ΔE_f**: -0.247 eV per atom
**Energy above the most stable polymorph in this dataset**: 59.1 meV per atom
**Magnetization**: 6.77 μB/f.u.

---

2.
A relaxed PuThBi crystal. Source: Alexandria, functional PBE.

abc: 5.4536 5.4536 3.4723
angles: 90.00 90.00 120.00
Space group P3m1 (No. 156)
Asymmetric unit:
Pu 0.0000 0.0000 0.0000
Th 0.6667 0.3333 0.5968
Bi 0.3333 0.6667 0.2463

Computed properties:
**ΔE_f**: -0.032 eV per atom
**Energy above the most stable polymorph in this dataset**: 274.5 meV per atom
**Magnetization**: 6.67 μB/f.u.

---

3.
A relaxed PuTh2Bi crystal. Source: Alexandria, functional PBE.

abc: 4.082 4.082 7.272
angles: 90.00 90.00 90.00
Space group P4/mmm (No. 123)
Asymmetric unit:
Pu 0.000 0.000 0.000
Th 0.500 0.500 0.250
Bi 0.000 0.000 0.500

Computed properties:
**ΔE_f**: -0.142 eV per atom
**Energy above the most stable polymorph in this dataset**: 89.3 meV per atom
**Magnetization**: 6.81 μB/f.u.

---

4.
A relaxed PuTh2Bi crystal. Source: Alexandria, functional PBE.

abc: 5.026 5.026 4.647
angles: 90.00 90.00 90.00
Space group P4/mmm (No. 123)
Asymmetric unit:
Pu 0.000 0.000 0.000
Th 0.000 0.500 0.500
Bi 0.500 0.500 0.000

Computed properties:
**ΔE_f**: -0.232 eV per atom
**Energy above the most stable polymorph in this dataset**: 0.0 meV per atom
**Magnetization**: 6.38 μB/f.u.

---

5.
A relaxed PuThBi crystal. Source: Alexandria, functional PBE.

abc: 4.458 4.458 9.235
angles: 90.00 90.00 90.00
Space group P4/nmm (No. 129, origin choice 2)
Asymmetric unit:
Pu 0.250 0.750 0.000
Th 0.250 0.250 0.367
Bi 0.250 0.250 0.728

Computed properties:
**ΔE_f**: -0.306 eV per atom
**Energy above the most stable polymorph in this dataset**: 0.0 meV per atom
**Magnetization**: 6.03 μB/f.u.

---

6.
A relaxed PuTh3Bi5 crystal. Source: Alexandria, functional PBE.

abc: 9.8666 9.8666 6.5559
angles: 90.00 90.00 120.00
Space group P6_3/mcm (No. 193)
Asymmetric unit:
Pu 0.0000 0.0000 0.0000
Th 0.0000 0.3785 0.2500
Bi 0.0000 0.2817 0.7500
Bi 0.3333 0.6667 0.0000

Computed properties:
**ΔE_f**: -0.554 eV per atom
**Magnetization**: 6.07 μB/f.u.

---

7.
A relaxed Pu3ThBi4 crystal. Source: Alexandria, functional PBE.

abc: 7.918 9.116 7.900
angles: 90.00 109.38 90.00
Space group P2/c (No. 13)
Asymmetric unit:
Pu 0.000 0.124 0.250
Pu 0.500 0.125 0.750
Pu 0.500 0.375 0.250
Th 0.000 0.374 0.750
Bi 0.252 0.123 0.002
Bi 0.253 0.374 0.500

Computed properties:
**ΔE_f**: -0.414 eV per atom
**Magnetization**: 5.41 μB/f.u.

---

8.
A relaxed Pu2Th3Bi3 crystal. Source: Alexandria, functional PBE.

abc: 9.5218 9.5218 6.2532
angles: 90.00 90.00 120.00
Space group P6_3/mcm (No. 193)
Asymmetric unit:
Pu 0.3333 0.6667 0.0000
Th 0.0000 0.2452 0.2500
Bi 0.0000 0.3932 0.7500

Computed properties:
**ΔE_f**: -0.389 eV per atom
**Magnetization**: 11.97 μB/f.u.